1.
The following is a DFT calculation (GGA-PBE) of crystalline Mg4HgS5 at its relaxed geometry.

a = 4.0746 Å, b = 4.0746 Å, c = 16.7501 Å
α = 83.01°, β = 83.01°, γ = 60.00°
Sites, in units of the cell vectors:
S  0.1988  0.1988  0.4037
Mg  0.7503  0.7503  0.7491
Mg  0.3514  0.3514  0.9457
S  0.0029  0.0029  0.9912
S  0.5974  0.5974  0.2077
Hg  0.9511  0.9511  0.1466
Mg  0.5479  0.5479  0.3563
S  0.7999  0.7999  0.6004
Mg  0.1492  0.1492  0.5525
S  0.4011  0.4011  0.7968

## Properties
magnetization	0.00	μB per formula unit
crystal system	trigonal

2.
The following is a DFT calculation (GGA-PBE) of crystalline PmPuSb4 at its relaxed geometry.

a = 6.2642 Å, b = 6.2642 Å, c = 6.2642 Å
α = 60.00°, β = 60.00°, γ = 60.00°
Site moments in Bohr magnetons follow the coordinates.
Sites, in units of the cell vectors:
Sb  0.1244  0.6252  0.6252  -0.04
Pu  0.0000  0.0000  0.0000  5.68
Sb  0.6252  0.6252  0.6252  -0.04
Sb  0.6252  0.1244  0.6252  -0.04
Sb  0.6252  0.6252  0.1244  -0.04
Pm  0.2500  0.2500  0.2500  0.21

## Properties
magnetization	6.26	μB per formula unit
crystal system	cubic
DOS at the Fermi energy	13.3	states/eV per cell

Listing raw total energy for the structures above in their given order: -38.8, -36.6 eV for the cell shown.
Listing uncorrected formation energy for the structures above in their given order: -1.1525, -0.1731 eV per atom.